Version w
Here is a geometry-optimized VSbI2N structure from Alexandria. Energies are from PBE.

It has space group P4/mmm (No. 123), with a = 5.474 Å, b = 5.474 Å, c = 5.170 Å, α = 90.00°, β = 90.00° and γ = 90.00°. The distinct sites, in fractional coordinates, are V at (0.000, 0.000, 0.000), Sb at (0.000, 0.000, 0.500), I at (0.000, 0.500, 0.000) and N at (0.500, 0.500, 0.500).

As for the crystal system: tetragonal. As for the spin magnetization: 2.54 μB/cell.

---

Version x
Here is a geometry-optimized VSbI2N structure from Alexandria. Energies are from PBE.

It has space group P4/mmm (No. 123), with a = 5.740 Å, b = 5.740 Å, c = 3.691 Å, α = 90.00°, β = 90.00° and γ = 90.00°. The distinct sites, in fractional coordinates, are V at (0.000, 0.000, 0.000), Sb at (0.500, 0.500, 0.500), I at (0.000, 0.500, 0.000) and N at (0.000, 0.000, 0.500).

As for the crystal system: tetragonal. As for the spin magnetization: 1.11 μB/cell.

---

Version y
Here is a geometry-optimized VSbI2N structure from Alexandria. Energies are from PBE.

It has space group P4/mmm (No. 123), with a = 6.174 Å, b = 6.174 Å, c = 3.975 Å, α = 90.00°, β = 90.00° and γ = 90.00°. The distinct sites, in fractional coordinates, are V at (0.000, 0.000, 0.000), Sb at (0.500, 0.500, 0.500), I at (0.000, 0.500, 0.500) and N at (0.500, 0.500, 0.000).

As for the crystal system: tetragonal. As for the spin magnetization: 3.84 μB/cell.

---

Version z
Here is a geometry-optimized VSbI2N structure from Alexandria. Energies are from PBE.

It has space group P4/mmm (No. 123), with a = 4.808 Å, b = 4.808 Å, c = 4.892 Å, α = 90.00°, β = 90.00° and γ = 90.00°. The distinct sites, in fractional coordinates, are V at (0.000, 0.000, 0.000), Sb at (0.500, 0.500, 0.000), I at (0.000, 0.500, 0.500) and N at (0.500, 0.500, 0.500).

As for the crystal system: tetragonal. As for the spin magnetization: 0.37 μB/cell.

---

Bottom line: version x, by a margin of 762 meV per atom.

---

Version w
Here is a geometry-optimized VSbIN2 structure from Alexandria. Energies are from PBE.

It has space group P4/mmm (No. 123), with a = 4.067 Å, b = 4.067 Å, c = 5.336 Å, α = 90.00°, β = 90.00° and γ = 90.00°. The distinct sites, in fractional coordinates, are V at (0.000, 0.000, 0.000), Sb at (0.500, 0.500, 0.500), I at (0.000, 0.000, 0.500) and N at (0.000, 0.500, 0.000).

As for the crystal system: tetragonal. As for the spin magnetization: 0.00 μB/cell.

---

Version x
Here is a geometry-optimized VSbIN2 structure from Alexandria. Energies are from PBE.

It has space group P4/mmm (No. 123), with a = 4.041 Å, b = 4.041 Å, c = 6.887 Å, α = 90.00°, β = 90.00° and γ = 90.00°. The distinct sites, in fractional coordinates, are V at (0.000, 0.000, 0.000), Sb at (0.500, 0.500, 0.500), I at (0.500, 0.500, 0.000) and N at (0.000, 0.500, 0.500).

As for the crystal system: tetragonal. As for the spin magnetization: 1.13 μB/cell.

---

Bottom line: version w, by a margin of 751 meV per atom.

---

Version w
Here is a geometry-optimized SbWIN2 structure from Alexandria. Energies are from PBE.

It has space group P4/mmm (No. 123), with a = 4.071 Å, b = 4.071 Å, c = 7.229 Å, α = 90.00°, β = 90.00° and γ = 90.00°. The distinct sites, in fractional coordinates, are Sb at (0.000, 0.000, 0.000), W at (0.500, 0.500, 0.500), I at (0.000, 0.000, 0.500) and N at (0.000, 0.500, 0.000).

As for the crystal system: tetragonal. As for the spin magnetization: 5.55 μB/cell.

---

Version x
Here is a geometry-optimized SbWIN2 structure from Alexandria. Energies are from PBE.

It has space group P4/mmm (No. 123), with a = 4.102 Å, b = 4.102 Å, c = 5.685 Å, α = 90.00°, β = 90.00° and γ = 90.00°. The distinct sites, in fractional coordinates, are Sb at (0.000, 0.000, 0.000), W at (0.500, 0.500, 0.500), I at (0.500, 0.500, 0.000) and N at (0.000, 0.500, 0.500).

As for the crystal system: tetragonal. As for the spin magnetization: 0.02 μB/cell.

---

Bottom line: version x, by a margin of 1177 meV per atom.

---

Version w
Here is a geometry-optimized SbWI2N structure from Alexandria. Energies are from PBE.

It has space group P4/mmm (No. 123), with a = 6.146 Å, b = 6.146 Å, c = 3.946 Å, α = 90.00°, β = 90.00° and γ = 90.00°. The distinct sites, in fractional coordinates, are Sb at (0.000, 0.000, 0.000), W at (0.500, 0.500, 0.500), I at (0.000, 0.500, 0.000) and N at (0.000, 0.000, 0.500).

As for the crystal system: tetragonal. As for the spin magnetization: 4.66 μB/cell.

---

Version x
Here is a geometry-optimized SbWI2N structure from Alexandria. Energies are from PBE.

It has space group P4/mmm (No. 123), with a = 4.701 Å, b = 4.701 Å, c = 4.735 Å, α = 90.00°, β = 90.00° and γ = 90.00°. The distinct sites, in fractional coordinates, are Sb at (0.000, 0.000, 0.000), W at (0.500, 0.500, 0.000), I at (0.000, 0.500, 0.500) and N at (0.000, 0.000, 0.500).

As for the crystal system: tetragonal. As for the spin magnetization: 0.00 μB/cell.

---

Bottom line: version w, by a margin of 33 meV per atom.

---

Version w
Here is a geometry-optimized SbWI2N structure from Alexandria. Energies are from PBE.

It has space group P4/mmm (No. 123), with a = 5.710 Å, b = 5.710 Å, c = 3.844 Å, α = 90.00°, β = 90.00° and γ = 90.00°. The distinct sites, in fractional coordinates, are Sb at (0.000, 0.000, 0.000), W at (0.500, 0.500, 0.500), I at (0.000, 0.500, 0.500) and N at (0.500, 0.500, 0.000).

As for the crystal system: tetragonal. As for the spin magnetization: 0.92 μB/cell.

---

Version x
Here is a geometry-optimized SbWI2N structure from Alexandria. Energies are from PBE.

It has space group P4/mmm (No. 123), with a = 5.317 Å, b = 5.317 Å, c = 5.314 Å, α = 90.00°, β = 90.00° and γ = 90.00°. The distinct sites, in fractional coordinates, are Sb at (0.000, 0.000, 0.000), W at (0.000, 0.000, 0.500), I at (0.000, 0.500, 0.500) and N at (0.500, 0.500, 0.000).

As for the crystal system: tetragonal. As for the spin magnetization: 0.00 μB/cell.

---

Bottom line: version w, by a margin of 1335 meV per atom.

---

Version w
Here is a geometry-optimized ZnSbIN2 structure from Alexandria. Energies are from PBE.

It has space group P4/mmm (No. 123), with a = 4.323 Å, b = 4.323 Å, c = 5.615 Å, α = 90.00°, β = 90.00° and γ = 90.00°. The distinct sites, in fractional coordinates, are Zn at (0.000, 0.000, 0.000), Sb at (0.500, 0.500, 0.500), I at (0.000, 0.000, 0.500) and N at (0.000, 0.500, 0.000).

As for the crystal system: tetragonal. As for the spin magnetization: 2.66 μB/cell.

---

Version x
Here is a geometry-optimized ZnSbIN2 structure from Alexandria. Energies are from PBE.

It has space group P4/mmm (No. 123), with a = 4.064 Å, b = 4.064 Å, c = 7.352 Å, α = 90.00°, β = 90.00° and γ = 90.00°. The distinct sites, in fractional coordinates, are Zn at (0.000, 0.000, 0.000), Sb at (0.500, 0.500, 0.500), I at (0.500, 0.500, 0.000) and N at (0.000, 0.500, 0.500).

As for the crystal system: tetragonal. As for the spin magnetization: 1.05 μB/cell.

---

Bottom line: version x, by a margin of 462 meV per atom.